A geometry-optimized MnTlTe2 structure. Source: the Alexandria database, functional PBE.

Properties
Its formation energy (no corrections) is -0.100 eV/f.u. The space group is Cm (8). As for the density of states at the Fermi level: 5.1 states/eV/cell. Its total energy is -4.48 eV/atom.

abc: 8.308 9.356 3.816
angles: 78.28 103.31 60.46
Positions (direct):
Tl (0.809, 0.043, 0.780)
Tl (0.031, 0.304, 0.260)
Mn (0.522, 0.826, 0.244)
Mn (0.685, 0.649, 0.915)
Te (0.597, 0.498, 0.446)
Te (0.267, 0.896, 0.582)
Te (0.896, 0.677, 0.507)
Te (0.433, 0.139, 0.043)

***

A geometry-optimized CaInNi2 structure. Source: the Alexandria database, functional PBE.

Properties
The space group is I-42d (122). As for the density of states at the Fermi level: 5.5 states/eV/cell. Its total energy is -3.94 eV/atom.

abc: 4.598 4.598 9.359
angles: 75.78 75.78 90.00
Positions (direct):
Ni (0.822, 0.125, 0.250)
Ni (0.928, 0.625, 0.250)
Ni (0.375, 0.178, 0.750)
Ni (0.875, 0.072, 0.750)
Ca (0.500, 0.500, 0.000)
Ca (0.250, 0.750, 0.500)
In (0.000, 0.000, 0.000)
In (0.750, 0.250, 0.500)

***

A geometry-optimized Ac2TlCu3 structure. Source: the Alexandria database, functional PBE.

Properties
The space group is Fmmm (69). As for the density of states at the Fermi level: 9.0 states/eV/cell. Its total energy is -3.98 eV/atom.

abc: 6.260 6.260 8.968
angles: 108.67 108.67 94.75
Positions (direct):
Ac (0.250, 0.750, 0.500)
Ac (0.767, 0.767, 0.000)
Ac (0.750, 0.250, 0.500)
Ac (0.233, 0.233, 0.000)
Tl (0.663, 0.663, 0.327)
Tl (0.337, 0.337, 0.673)
Cu (0.319, 0.841, 0.160)
Cu (0.159, 0.681, 0.840)
Cu (0.681, 0.159, 0.840)
Cu (0.841, 0.319, 0.160)
Cu (0.160, 0.160, 0.321)
Cu (0.840, 0.840, 0.679)

***

A geometry-optimized Cd3GaCl structure. Source: the Alexandria database, functional PBE.

Properties
Its formation energy (no corrections) is -0.629 eV/f.u. The space group is Pm-3m (221). As for the density of states at the Fermi level: 0.2 states/eV/cell. Its total energy is -1.65 eV/atom.

abc: 5.180 5.180 5.180
angles: 90.00 90.00 90.00
Positions (direct):
Cl (0.500, 0.500, 0.500)
Ga (0.000, 0.000, 0.000)
Cd (0.000, 0.500, 0.000)
Cd (0.000, 0.000, 0.500)
Cd (0.500, 0.000, 0.000)

***

A geometry-optimized KCaO3 structure. Source: the Alexandria database, functional PBE.

Properties
Its formation energy (no corrections) is -1.244 eV/f.u. The space group is Pm-3m (221). As for the density of states at the Fermi level: 3.5 states/eV/cell. Its total energy is -3.84 eV/atom.

abc: 4.394 4.394 4.394
angles: 90.00 90.00 90.00
Last column: magnetic moment on the atom in μB.
Positions (direct):
Ca (0.500, 0.500, 0.500)  -0.03
K (0.000, 0.000, 0.000)  0.18
O (0.000, 0.500, 0.000)  0.90
O (0.000, 0.000, 0.500)  0.90
O (0.500, 0.000, 0.000)  0.63

***

A geometry-optimized RbZn3I structure. Source: the Alexandria database, functional PBE.

Properties
Its formation energy (no corrections) is 1.938 eV/f.u. The space group is Pm-3m (221). As for the density of states at the Fermi level: 0.0 states/eV/cell. Its total energy is -0.88 eV/atom.

abc: 6.653 6.653 6.653
angles: 90.00 90.00 90.00
Positions (direct):
I (0.500, 0.500, 0.500)
Zn (0.000, 0.500, 0.000)
Zn (0.000, 0.000, 0.500)
Zn (0.500, 0.000, 0.000)
Rb (0.000, 0.000, 0.000)

***

A geometry-optimized BaCd2PRh2 structure. Source: the Alexandria database, functional PBE.

Properties
The space group is P4/mmm (123). As for the density of states at the Fermi level: 5.5 states/eV/cell. Its total energy is -4.45 eV/atom.

abc: 4.569 4.569 6.424
angles: 90.00 90.00 90.00
Last column: magnetic moment on the atom in μB.
Positions (direct):
Ba (0.000, 0.000, 0.500)  0.01
Cd (0.500, 0.500, 0.734)  0.00
Cd (0.500, 0.500, 0.266)  0.00
P (0.000, 0.000, 0.000)  0.01
Rh (0.500, 0.000, 0.000)  0.18
Rh (0.000, 0.500, 0.000)  0.18

***

A geometry-optimized LaCdBiRh2 structure. Source: the Alexandria database, functional PBE.

Properties
The space group is P4/mmm (123). As for the density of states at the Fermi level: 2.8 states/eV/cell. Its total energy is -4.18 eV/atom.

abc: 4.846 6.542 4.846
angles: 90.00 90.00 90.00
Positions (direct):
Cd (0.500, 0.500, 0.500)
Rh (0.000, 0.000, 0.500)
Rh (0.500, 0.000, 0.000)
Bi (0.000, 0.500, 0.000)
La (0.000, 0.000, 0.000)

***

A geometry-optimized Pm4Sm15Mg structure. Source: the Alexandria database, functional PBE.

Properties
The space group is P4/mmm (123). As for the density of states at the Fermi level: 28.4 states/eV/cell. Its total energy is -4.55 eV/atom.

abc: 5.110 5.110 25.593
angles: 90.00 90.00 90.00
Positions (direct):
Pm (0.000, 0.000, 0.197)
Pm (0.000, 0.000, 0.399)
Pm (0.000, 0.000, 0.601)
Pm (0.000, 0.000, 0.803)
Sm (0.500, 0.500, 0.000)
Sm (0.500, 0.500, 0.196)
Sm (0.500, 0.500, 0.399)
Sm (0.500, 0.500, 0.601)
Sm (0.500, 0.500, 0.804)
Sm (0.500, 0.000, 0.097)
Sm (0.500, 0.000, 0.298)
Sm (0.500, 0.000, 0.500)
Sm (0.500, 0.000, 0.702)
Sm (0.500, 0.000, 0.903)
Sm (0.000, 0.500, 0.097)
Sm (0.000, 0.500, 0.298)
Sm (0.000, 0.500, 0.500)
Sm (0.000, 0.500, 0.702)
Sm (0.000, 0.500, 0.903)
Mg (0.000, 0.000, 0.000)

***

A geometry-optimized Zr3ZnO structure. Source: the Alexandria database, functional PBE.

Properties
Its formation energy (no corrections) is -5.358 eV/f.u. The space group is Pm-3m (221). As for the density of states at the Fermi level: 5.0 states/eV/cell. Its total energy is -7.45 eV/atom.

abc: 4.449 4.449 4.449
angles: 90.00 90.00 90.00
Positions (direct):
Zn (0.500, 0.500, 0.500)
O (0.000, 0.000, 0.000)
Zr (0.000, 0.500, 0.000)
Zr (0.000, 0.000, 0.500)
Zr (0.500, 0.000, 0.000)

***

A geometry-optimized CoSiNi2 structure. Source: the Alexandria database, functional PBE.

Properties
Its formation energy (no corrections) is -1.489 eV/f.u. The space group is P4/mmm (123). As for the density of states at the Fermi level: 3.8 states/eV/cell. Its total energy is -6.40 eV/atom.

abc: 3.578 3.462 3.462
angles: 90.00 90.00 90.00
Last column: magnetic moment on the atom in μB.
Positions (direct):
Ni (0.000, 0.000, 0.000)  0.25
Ni (0.000, 0.500, 0.500)  0.25
Si (0.500, 0.500, 0.000)  -0.02
Co (0.500, 0.000, 0.500)  0.62

***

A geometry-optimized BaAc5Sb6 structure. Source: the Alexandria database, functional PBE.

Properties
Its formation energy (no corrections) is -13.715 eV/f.u. The space group is C2/m (12). As for the density of states at the Fermi level: 7.2 states/eV/cell. Its total energy is -5.08 eV/atom.

abc: 10.804 10.804 8.364
angles: 130.14 130.14 84.35
Positions (direct):
Sb (0.427, 0.085, 0.258)
Sb (0.915, 0.573, 0.742)
Sb (0.258, 0.258, 0.769)
Sb (0.742, 0.742, 0.231)
Sb (0.085, 0.427, 0.258)
Sb (0.573, 0.915, 0.742)
Ac (0.836, 0.164, 0.500)
Ac (0.668, 0.332, 0.000)
Ac (0.500, 0.500, 0.500)
Ac (0.332, 0.668, 0.000)
Ac (0.164, 0.836, 0.500)
Ba (0.000, 0.000, 0.000)

***

A geometry-optimized CrTc2Rh2 structure. Source: the Alexandria database, functional PBE.

Properties
The space group is I4/mmm (139). As for the density of states at the Fermi level: 4.4 states/eV/cell. Its total energy is -8.42 eV/atom.

abc: 3.645 3.645 6.441
angles: 73.56 73.56 90.00
Positions (direct):
Cr (0.000, 0.000, 0.000)
Rh (0.750, 0.250, 0.500)
Rh (0.250, 0.750, 0.500)
Tc (0.405, 0.405, 0.190)
Tc (0.595, 0.595, 0.810)

***

A geometry-optimized CaLa2Br structure. Source: the Alexandria database, functional PBE.

Properties
Its formation energy (no corrections) is -1.333 eV/f.u. The space group is C2/m (12). As for the density of states at the Fermi level: 4.8 states/eV/cell. Its total energy is -3.72 eV/atom.

abc: 5.805 7.346 3.637
angles: 75.46 90.51 113.41
Positions (direct):
Ca (0.500, 0.500, 0.000)
Br (0.000, 0.500, 0.500)
La (0.000, 0.000, 0.000)
La (0.500, 0.000, 0.500)

***

A geometry-optimized Ba2CaHfS structure. Source: the Alexandria database, functional PBE.

Properties
Its formation energy (no corrections) is -1.794 eV/f.u. The space group is P4/mmm (123). As for the density of states at the Fermi level: 8.0 states/eV/cell. Its total energy is -4.34 eV/atom.

abc: 6.271 4.900 6.271
angles: 90.00 90.00 90.00
Positions (direct):
S (0.000, 0.000, 0.000)
Ca (0.500, 0.500, 0.500)
Hf (0.000, 0.500, 0.000)
Ba (0.000, 0.000, 0.500)
Ba (0.500, 0.000, 0.000)

***

A geometry-optimized CaF structure. Source: the Alexandria database, functional PBE.

Properties
Its formation energy (no corrections) is -5.500 eV/f.u. The space group is I4/m (87). As for the density of states at the Fermi level: 5.6 states/eV/cell. Its total energy is -4.69 eV/atom.

abc: 9.568 9.568 3.965
angles: 90.00 90.00 90.00
Positions (direct):
Ca (0.422, 0.227, 0.000)
Ca (0.578, 0.773, 0.000)
Ca (0.773, 0.422, 0.000)
Ca (0.227, 0.578, 0.000)
Ca (0.922, 0.727, 0.500)
Ca (0.078, 0.273, 0.500)
Ca (0.273, 0.922, 0.500)
Ca (0.727, 0.078, 0.500)
F (0.338, 0.794, 0.000)
F (0.662, 0.206, 0.000)
F (0.206, 0.338, 0.000)
F (0.794, 0.662, 0.000)
F (0.838, 0.294, 0.500)
F (0.162, 0.706, 0.500)
F (0.706, 0.838, 0.500)
F (0.294, 0.162, 0.500)

***

A geometry-optimized Be2Pt3 structure. Source: the Alexandria database, functional PBE.

Properties
The space group is P-3m1 (164). As for the density of states at the Fermi level: 1.7 states/eV/cell. Its total energy is -5.76 eV/atom.

abc: 3.920 3.920 4.894
angles: 90.00 90.00 120.00
Positions (direct):
Be (0.667, 0.333, 0.179)
Be (0.333, 0.667, 0.821)
Pt (0.000, 0.000, 0.000)
Pt (0.667, 0.333, 0.665)
Pt (0.333, 0.667, 0.335)

***

A geometry-optimized Cs2ScTe2 structure. Source: the Alexandria database, functional PBE.

Properties
Its formation energy (no corrections) is -3.806 eV/f.u. The space group is P4/mbm (127). As for the density of states at the Fermi level: 1.4 states/eV/cell. Its total energy is -3.63 eV/atom.

abc: 8.245 8.245 6.139
angles: 90.00 90.00 90.00
Last column: magnetic moment on the atom in μB.
Positions (direct):
Cs (0.652, 0.152, 0.500)  0.01
Cs (0.848, 0.652, 0.500)  0.01
Cs (0.348, 0.848, 0.500)  0.01
Cs (0.152, 0.348, 0.500)  0.01
Sc (0.000, 0.000, 0.000)  0.48
Sc (0.500, 0.500, 0.000)  0.48
Te (0.822, 0.322, 0.000)  -0.01
Te (0.678, 0.822, 0.000)  -0.01
Te (0.178, 0.678, 0.000)  -0.01
Te (0.322, 0.178, 0.000)  -0.01

***

A geometry-optimized SnMoH structure. Source: the Alexandria database, functional PBE.

Properties
The space group is C2/m (12). As for the density of states at the Fermi level: 1.4 states/eV/cell. Its total energy is -5.87 eV/atom.

abc: 3.337 6.549 4.830
angles: 100.99 110.21 90.00
Positions (direct):
H (0.736, 0.847, 0.471)
H (0.264, 0.153, 0.529)
Mo (0.668, 0.577, 0.336)
Mo (0.332, 0.423, 0.664)
Sn (0.020, 0.225, 0.040)
Sn (0.980, 0.775, 0.960)

***

A geometry-optimized ZnRe4Ag structure. Source: the Alexandria database, functional PBE.

Properties
The space group is F-43m (216). As for the density of states at the Fermi level: 4.1 states/eV/cell. Its total energy is -8.30 eV/atom.

abc: 5.216 5.216 5.216
angles: 60.00 60.00 60.00
Positions (direct):
Zn (0.750, 0.750, 0.750)
Re (0.876, 0.375, 0.375)
Re (0.375, 0.375, 0.876)
Re (0.375, 0.876, 0.375)
Re (0.375, 0.375, 0.375)
Ag (0.000, 0.000, 0.000)